{
  "formula": "LaSb2As2",
  "functional": "GGA-PBE",
  "state": "optimized geometry",
  "m_tot_mub_per_cell": 0.00,
  "total_energy_ev_per_cell": -49.75,
  "e_above_lowest_polymorph_kj_per_mol_fu": 0,
  "e_form_raw_ev_per_atom": -0.480,
  "lattice_angstrom": [[8.195, 0.000, 0.000], [0.000, 8.195, 0.000], [0.000, 0.000, 4.038]],
  "species": ["As", "As", "As", "As", "La", "La", "Sb", "Sb", "Sb", "Sb"],
  "frac_coords": [[0.855, 0.645, 0.000], [0.645, 0.145, 0.000], [0.355, 0.855, 0.000], [0.145, 0.355, 0.000], [0.500, 0.500, 0.000], [0.000, 0.000, 0.000], [0.698, 0.802, 0.500], [0.302, 0.198, 0.500], [0.198, 0.698, 0.500], [0.802, 0.302, 0.500]]
}